A geometry-optimized BiAs2Cl structure, computed with PBE-GGA.

Results
E_form (uncorrected), meV per atom: 66
Energy above the lowest structure with this stoichiometry, eV per formula unit: 0.00
Symmetry: I-42d (122)
DOS at the Fermi energy, states/eV/cell: 3.6
Electronic total energy, eV/atom: -3.69

Lattice parameters (Å, degrees): 9.1309 9.1309 6.9764 49.12 49.12 90.00
Closest atoms and distances in Å follow each position.
Fractional positions:
As (0.6726, 0.1250, 0.2500)  2 As 2.78, 2 Bi 3.01
As (0.0774, 0.6250, 0.2500)  2 As 2.78, 2 Bi 3.01
As (0.3750, 0.3274, 0.7500)  2 As 2.78, 2 Bi 3.01
As (0.8750, 0.9226, 0.7500)  2 As 2.78, 2 Bi 3.01
Bi (0.0000, 0.0000, 0.0000)  2 Cl 2.64
Bi (0.7500, 0.2500, 0.5000)  2 Cl 2.64
Cl (0.5000, 0.5000, 0.0000)  2 Bi 2.64
Cl (0.2500, 0.7500, 0.5000)  2 Bi 2.64

=====

A geometry-optimized Bi2As2Cl structure, computed with PBE-GGA.

Results
E_form (uncorrected), meV per atom: -52
Energy above the lowest structure with this stoichiometry, eV per formula unit: 0.29
Symmetry: P4/mbm (127)
DOS at the Fermi energy, states/eV/cell: 3.7
Electronic total energy, eV/atom: -3.83

Lattice parameters (Å, degrees): 8.3292 8.3292 3.7202 90.00 90.00 90.00
Closest atoms and distances in Å follow each position.
Fractional positions:
As (0.1274, 0.6274, 0.5000)  1 As 3.00, 6 Bi 3.05-3.12
As (0.6274, 0.8726, 0.5000)  1 As 3.00, 6 Bi 3.05-3.12
As (0.8726, 0.3726, 0.5000)  1 As 3.00, 6 Bi 3.05-3.12
As (0.3726, 0.1274, 0.5000)  1 As 3.00, 6 Bi 3.05-3.12
Bi (0.3397, 0.8397, 0.0000)  6 As 3.05-3.12, 2 Cl 3.13
Bi (0.8397, 0.6603, 0.0000)  6 As 3.05-3.12, 2 Cl 3.13
Bi (0.6603, 0.1603, 0.0000)  6 As 3.05-3.12, 2 Cl 3.13
Bi (0.1603, 0.3397, 0.0000)  6 As 3.05-3.12, 2 Cl 3.13
Cl (0.0000, 0.0000, 0.0000)  4 Bi 3.13
Cl (0.5000, 0.5000, 0.0000)  4 Bi 3.13

=====

A geometry-optimized BiAsCl3 structure, computed with PBE-GGA.

Results
E_form (uncorrected), meV per atom: -115
Energy above the lowest structure with this stoichiometry, eV per formula unit: 0.00
Symmetry: Pm-3m (221)
DOS at the Fermi energy, states/eV/cell: 3.0
Electronic total energy, eV/atom: -2.93

Lattice parameters (Å, degrees): 5.4830 5.4830 5.4830 90.00 90.00 90.00
Closest atoms and distances in Å follow each position.
Fractional positions:
As (0.5000, 0.5000, 0.5000)  12 Cl 3.88
Bi (0.0000, 0.0000, 0.0000)  6 Cl 2.74
Cl (0.0000, 0.5000, 0.0000)  2 Bi 2.74
Cl (0.0000, 0.0000, 0.5000)  2 Bi 2.74
Cl (0.5000, 0.0000, 0.0000)  2 Bi 2.74

=====

A geometry-optimized BiAs3Cl structure, computed with PBE-GGA.

Results
E_form (uncorrected), meV per atom: 840
Energy above the lowest structure with this stoichiometry, eV per formula unit: 0.00
Symmetry: Pm-3m (221)
DOS at the Fermi energy, states/eV/cell: 3.9
Electronic total energy, eV/atom: -3.10

Lattice parameters (Å, degrees): 4.9648 4.9648 4.9648 90.00 90.00 90.00
Closest atoms and distances in Å follow each position.
Fractional positions:
As (0.0000, 0.5000, 0.0000)  2 Cl 2.48
As (0.0000, 0.0000, 0.5000)  2 Cl 2.48
As (0.5000, 0.0000, 0.0000)  2 Cl 2.48
Bi (0.5000, 0.5000, 0.5000)  12 As 3.51
Cl (0.0000, 0.0000, 0.0000)  6 As 2.48

=====

A geometry-optimized BiAs2Cl structure, computed with PBE-GGA.

Results
E_form (uncorrected), meV per atom: 304
Energy above the lowest structure with this stoichiometry, eV per formula unit: 0.95
Symmetry: Fm-3m (225)
DOS at the Fermi energy, states/eV/cell: 3.4
Electronic total energy, eV/atom: -3.45

Lattice parameters (Å, degrees): 5.0428 5.0428 5.0428 60.00 60.00 60.00
Closest atoms and distances in Å follow each position.
Fractional positions:
As (0.2500, 0.2500, 0.2500)  4 Bi 3.09, 4 Cl 3.09
As (0.7500, 0.7500, 0.7500)  4 Bi 3.09, 4 Cl 3.09
Bi (0.5000, 0.5000, 0.5000)  8 As 3.09
Cl (0.0000, 0.0000, 0.0000)  8 As 3.09

=====

A geometry-optimized Bi2AsCl2 structure, computed with PBE-GGA.

Results
E_form (uncorrected), meV per atom: -118
Symmetry: P4/mbm (127)
DOS at the Fermi energy, states/eV/cell: 5.9
Electronic total energy, eV/atom: -3.34

Lattice parameters (Å, degrees): 7.5365 7.5365 4.8593 90.00 90.00 90.00
Closest atoms and distances in Å follow each position.
Fractional positions:
As (0.0000, 0.0000, 0.0000)  4 Bi 2.85
As (0.5000, 0.5000, 0.0000)  4 Bi 2.85
Bi (0.3440, 0.8440, 0.0000)  2 As 2.85, 2 Cl 3.10
Bi (0.8440, 0.6560, 0.0000)  2 As 2.85, 2 Cl 3.10
Bi (0.6560, 0.1560, 0.0000)  2 As 2.85, 2 Cl 3.10
Bi (0.1560, 0.3440, 0.0000)  2 As 2.85, 2 Cl 3.10
Cl (0.1632, 0.6632, 0.5000)  6 Bi 3.10-3.42
Cl (0.6632, 0.8368, 0.5000)  6 Bi 3.10-3.42
Cl (0.8368, 0.3368, 0.5000)  6 Bi 3.10-3.42
Cl (0.3368, 0.1632, 0.5000)  6 Bi 3.10-3.42

=====

A geometry-optimized BiAs3Cl structure, computed with PBE-GGA.

Results
E_form (uncorrected), meV per atom: 1098
Energy above the lowest structure with this stoichiometry, eV per formula unit: 1.29
Symmetry: Pm-3m (221)
DOS at the Fermi energy, states/eV/cell: 8.8
Electronic total energy, eV/atom: -2.84

Lattice parameters (Å, degrees): 5.5165 5.5165 5.5165 90.00 90.00 90.00
Closest atoms and distances in Å follow each position.
Fractional positions:
As (0.0000, 0.5000, 0.0000)  2 Bi 2.76
As (0.0000, 0.0000, 0.5000)  2 Bi 2.76
As (0.5000, 0.0000, 0.0000)  2 Bi 2.76
Bi (0.0000, 0.0000, 0.0000)  6 As 2.76
Cl (0.5000, 0.5000, 0.5000)  12 As 3.90

=====

A geometry-optimized Bi2As2Cl structure, computed with PBE-GGA.

Results
E_form (uncorrected), meV per atom: -110
Energy above the lowest structure with this stoichiometry, eV per formula unit: 0.00
Symmetry: I4/mmm (139)
DOS at the Fermi energy, states/eV/cell: 1.6
Electronic total energy, eV/atom: -3.89

Lattice parameters (Å, degrees): 4.7007 4.7007 7.6729 72.16 72.16 90.00
Closest atoms and distances in Å follow each position.
Fractional positions:
As (0.7500, 0.2500, 0.5000)  4 Bi 2.88
As (0.2500, 0.7500, 0.5000)  4 Bi 2.88
Bi (0.3698, 0.3698, 0.2604)  4 As 2.88
Bi (0.6302, 0.6302, 0.7396)  4 As 2.88
Cl (0.0000, 0.0000, 0.0000)  8 Bi 3.78, 8 As 4.18

=====

Looking at V for the records above, in order, we have 220; 258; 165; 122; 91; 276; 168; 153 Å³/cell.